[1]
Entry from Alexandria via LeMat-Bulk: a relaxed structure of Zr3FePb (PBE-GGA).

Calculated values
ΔH_f (0 K) (eV/atom): -0.124
Crystal system: hexagonal
Polymorph energy (0 for the lowest one) (meV per atom): 0

a b c (Å): 5.376 6.892 6.892
angles (deg): 119.99 90.00 90.00
Positions (direct):
Pb1 0.750 0.667 0.333
Zr1 0.750 0.173 0.827
Zr2 0.750 0.654 0.827
Fe1 0.000 0.000 0.000
Zr3 0.750 0.173 0.346
Pb2 0.250 0.333 0.667
Fe2 0.500 0.000 0.000
Zr4 0.250 0.346 0.173
Zr5 0.250 0.827 0.654
Zr6 0.250 0.827 0.173



[2]
Entry from Alexandria via LeMat-Bulk: a relaxed structure of NbAgTe2 (PBE-GGA).

Calculated values
Uncorrected formation energy (eV/f.u.): 0.32
Crystal system: tetragonal

a b c (Å): 6.383 6.383 7.907
angles (deg): 66.20 66.20 90.00
Last column: magnetic moment on the atom in μB.
Positions (direct):
Nb1 0.500 0.500 0.000  1.67
Te1 0.375 0.386 0.750  -0.06
Nb2 0.250 0.750 0.500  1.68
Te2 0.136 0.625 0.250  -0.05
Ag1 0.750 0.250 0.500  0.01
Te3 0.875 0.864 0.750  -0.06
Te4 0.614 0.125 0.250  -0.05
Ag2 0.000 0.000 0.000  0.01



[3]
Entry from Alexandria via LeMat-Bulk: a relaxed structure of CsAsPd2Pt (PBE-GGA).

Calculated values
ΔH_f (0 K) (eV/atom): 0.683
Crystal system: tetragonal

a b c (Å): 4.663 6.528 4.663
angles (deg): 90.00 90.00 90.00
Positions (direct):
Pt1 0.500 0.500 0.500
Pd1 0.500 0.000 0.000
Cs1 0.000 0.500 0.000
As1 0.000 0.000 0.000
Pd2 0.000 0.000 0.500



[4]
Entry from Alexandria via LeMat-Bulk: a relaxed structure of Pm2Dy3Tl4 (PBE-GGA).

Calculated values
ΔH_f (0 K) (eV/atom): -0.302
Crystal system: monoclinic
Polymorph energy (0 for the lowest one) (meV per atom): 0

a b c (Å): 5.321 5.310 10.686
angles (deg): 90.17 89.97 59.95
Positions (direct):
Tl1 0.334 0.333 0.103
Tl2 0.000 0.000 0.349
Tl3 0.000 0.000 0.651
Dy1 0.333 0.333 0.426
Pm1 0.667 0.666 0.222
Pm2 0.333 0.334 0.778
Dy2 0.000 0.000 0.000
Tl4 0.666 0.667 0.897
Dy3 0.667 0.667 0.574